[1]
{
  "formula": "UFe4P12",
  "functional": "GGA-PBE",
  "state": "relaxed",
  "lattice_angstrom": [[6.722, 0.000, 0.000], [-2.241, 6.338, 0.000], [-2.241, -3.169, 5.489]],
  "species": ["U", "P", "P", "P", "P", "P", "P", "P", "P", "P", "P", "P", "P", "Fe", "Fe", "Fe", "Fe"],
  "frac_coords": [[0.000, 0.000, 0.000], [0.151, 0.802, 0.651], [0.349, 0.151, 0.500], [0.802, 0.651, 0.151], [0.500, 0.349, 0.151], [0.500, 0.651, 0.849], [0.651, 0.151, 0.802], [0.651, 0.849, 0.500], [0.151, 0.500, 0.349], [0.198, 0.349, 0.849], [0.349, 0.849, 0.198], [0.849, 0.500, 0.651], [0.849, 0.198, 0.349], [0.500, 0.500, 0.500], [0.000, 0.000, 0.500], [0.000, 0.500, 0.000], [0.500, 0.000, 0.000]]
}

[2]
{
  "formula": "UFe4P2",
  "functional": "GGA-PBE",
  "state": "relaxed",
  "relative_energy_mev_per_atom": 0,
  "lattice_angstrom": [[3.540, 0.000, 0.000], [0.000, 7.044, 0.000], [0.000, 0.000, 7.044]],
  "species": ["P", "P", "P", "P", "Fe", "Fe", "Fe", "Fe", "Fe", "Fe", "Fe", "Fe", "U", "U"],
  "frac_coords": [[0.500, 0.276, 0.276], [0.000, 0.224, 0.776], [0.500, 0.724, 0.724], [0.000, 0.776, 0.224], [0.000, 0.656, 0.923], [0.000, 0.344, 0.077], [0.500, 0.577, 0.156], [0.500, 0.423, 0.844], [0.000, 0.923, 0.656], [0.500, 0.156, 0.577], [0.500, 0.844, 0.423], [0.000, 0.077, 0.344], [0.000, 0.500, 0.500], [0.500, 0.000, 0.000]]
}

[3]
{
  "formula": "U3Fe2P3",
  "functional": "GGA-PBE",
  "state": "relaxed",
  "lattice_angstrom": [[-0.273, 3.827, -0.798], [-4.775, -2.086, 1.247], [2.147, 2.870, 13.020]],
  "species": ["P", "P", "P", "P", "P", "P", "U", "U", "U", "U", "U", "U", "Fe", "Fe", "Fe", "Fe"],
  "frac_coords": [[0.356, 0.713, 0.250], [0.363, 0.727, 0.956], [0.637, 0.273, 0.456], [0.637, 0.273, 0.044], [0.644, 0.287, 0.750], [0.363, 0.727, 0.544], [0.068, 0.137, 0.895], [0.068, 0.137, 0.605], [0.356, 0.712, 0.750], [0.932, 0.863, 0.395], [0.932, 0.863, 0.105], [0.644, 0.288, 0.250], [0.223, 0.447, 0.107], [0.777, 0.553, 0.607], [0.777, 0.553, 0.893], [0.223, 0.447, 0.393]]
}

[4]
{
  "formula": "UFe5P3",
  "functional": "GGA-PBE",
  "state": "relaxed",
  "lattice_angstrom": [[3.626, 0.000, 0.000], [-1.813, 5.725, 0.000], [0.000, 0.000, 11.073]],
  "species": ["Fe", "Fe", "Fe", "Fe", "Fe", "Fe", "Fe", "Fe", "Fe", "Fe", "P", "P", "P", "P", "P", "P", "U", "U"],
  "frac_coords": [[0.197, 0.394, 0.569], [0.448, 0.897, 0.353], [0.803, 0.606, 0.069], [0.000, 0.000, 0.500], [0.197, 0.394, 0.931], [0.448, 0.897, 0.147], [0.552, 0.103, 0.853], [0.552, 0.103, 0.647], [0.803, 0.606, 0.431], [0.000, 0.000, 0.000], [0.618, 0.237, 0.043], [0.884, 0.768, 0.250], [0.116, 0.232, 0.750], [0.382, 0.763, 0.957], [0.618, 0.237, 0.457], [0.382, 0.763, 0.543], [0.833, 0.666, 0.750], [0.167, 0.334, 0.250]]
}

[5]
{
  "formula": "UFe2P",
  "functional": "GGA-PBE",
  "state": "relaxed",
  "lattice_angstrom": [[-0.973, -3.463, 0.388], [2.187, -0.921, -2.731], [6.663, -1.229, 5.750]],
  "species": ["P", "P", "Fe", "Fe", "Fe", "Fe", "U", "U"],
  "frac_coords": [[0.500, 0.000, 0.639], [0.000, 0.500, 0.361], [0.500, 0.500, 0.500], [0.000, 0.500, 0.108], [0.000, 0.000, 0.500], [0.500, 0.000, 0.892], [0.500, 0.000, 0.213], [0.000, 0.500, 0.787]]
}

[6]
{
  "formula": "VFe3P",
  "functional": "GGA-PBE",
  "state": "relaxed",
  "relative_energy_mev_per_atom": 923,
  "lattice_angstrom": [[-3.934, 0.423, -1.596], [1.243, -1.956, -3.582], [-1.087, -3.768, 1.680]],
  "species": ["P", "V", "Fe", "Fe", "Fe"],
  "frac_coords": [[0.500, 0.500, 0.500], [0.000, 0.000, 0.000], [0.000, 0.000, 0.500], [0.000, 0.500, 0.000], [0.500, 0.000, 0.000]]
}

| no. | formation energy from the elements (eV/atom) |
| --- | --- |
| 1 | -0.5738 |
| 2 | -0.5643 |
| 3 | -0.7210 |
| 4 | -0.5523 |
| 5 | -0.4538 |
| 6 | 1.2455 |